The following is a GGA-PBE calculation of a relaxed structure of Nd8AsP3Se4, from the Alexandria database.

Lattice parameters (Å, degrees): 8.3891 8.3891 20.9023 90.00 90.00 120.00
Space group R-3m (No. 166, hexagonal axes)
Inequivalent atoms, fractional coordinates:
Nd1 0.0000 0.0000 0.2435 x6
Nd2 0.0046 0.5023 0.7555 x18
As1 0.0000 0.0000 0.5000 x3
P1 0.0000 0.5000 0.5000 x9
Se1 0.0000 0.0000 0.0000 x3
Se2 0.0000 0.5000 0.0000 x9

Values from the calculation:
electronic total energy	-303.64	eV per cell
density	6404	kg/m3



The following is a GGA-PBE calculation of a relaxed structure of Nd6As2PSe3, from the Alexandria database.

Lattice parameters (Å, degrees): 18.541 4.227 8.509 90.00 103.86 90.00
Space group C2/m (No. 12)
Inequivalent atoms, fractional coordinates:
Nd1 0.002 0.000 0.236 x4
Nd2 0.161 0.500 0.086 x4
Nd3 0.168 0.500 0.577 x4
As1 0.167 0.000 0.333 x4
P1 0.000 0.500 0.000 x2
Se1 0.000 0.500 0.500 x2
Se2 0.168 0.000 0.833 x4

Values from the calculation:
electronic total energy	-149.51	eV per cell
density	6583	kg/m3



Question: electronic total energy of number 2 (Nd6As2PSe3)?
Answer: -149.51 eV per cell



Copy entry 1 word for word.
The following is a GGA-PBE calculation of a relaxed structure of Nd8AsP3Se4, from the Alexandria database.

Lattice parameters (Å, degrees): 8.3891 8.3891 20.9023 90.00 90.00 120.00
Space group R-3m (No. 166, hexagonal axes)
Inequivalent atoms, fractional coordinates:
Nd1 0.0000 0.0000 0.2435 x6
Nd2 0.0046 0.5023 0.7555 x18
As1 0.0000 0.0000 0.5000 x3
P1 0.0000 0.5000 0.5000 x9
Se1 0.0000 0.0000 0.0000 x3
Se2 0.0000 0.5000 0.0000 x9

Values from the calculation:
electronic total energy	-303.64	eV per cell
density	6404	kg/m3